[1]
Entry from Alexandria: a relaxed structure of Ac2HfGe4Pd3 (PBE).

```
Ac2HfGe4Pd3
1.0
4.391 0.000 0.000
0.000 4.391 0.000
0.000 0.000 11.166
Pd Ge Hf Ac
3 4 1 2
Cartesian
0.000 2.196 1.362
0.000 0.000 5.583
2.196 0.000 9.803
0.000 0.000 0.000
2.196 0.000 7.186
2.196 2.196 0.000
0.000 2.196 3.980
2.196 2.196 5.583
0.000 2.196 8.545
2.196 0.000 2.620
```

---

[2]
Entry from Alexandria: a relaxed structure of CeNdCuHg (PBE).

```
CeNdCuHg
1.0
5.261 0.000 0.000
2.631 4.556 0.000
2.631 1.519 4.296
Hg Cu Nd Ce
1 1 1 1
Cartesian
7.892 4.556 3.222
2.631 1.519 1.074
0.000 0.000 0.000
5.261 3.038 2.148
```

---

[3]
Entry from Alexandria: a relaxed structure of Co8Ag (PBE).

```
Co8Ag
1.0
-3.826 3.826 1.798
3.826 -3.826 1.798
3.826 3.826 -1.798
Co Ag
8 1
Cartesian
1.369 1.369 1.798
-1.369 1.369 1.798
0.000 5.024 0.000
0.000 2.629 0.000
2.629 0.000 0.000
2.458 2.458 0.000
1.369 -1.369 1.798
5.024 0.000 0.000
0.000 0.000 0.000
```

---

| no. | mass density (g/cm3) | formation enthalpy at 0 K (eV/atom) | total DFT energy (no corrections) (eV per atom) |
| --- | --- | --- | --- |
| 1 | 9.58 | -0.7992 | -6.021 |
| 2 | 8.84 | -0.1756 | -3.951 |
| 3 | 9.14 | 0.1604 | -6.473 |